Run i
# PmZrCu2 GGA-PBE relaxed
# - V: 80.04 Å³/f.u.
# - D(E_F): 1.04 states/eV per atom
data_PmZrCu2
_symmetry_space_group_name_H-M 'P 4/m m m'
_symmetry_Int_Tables_number 123
_symmetry_space_group_name_Hall '-P 4 2'
_cell_length_a 3.397
_cell_length_b 3.397
_cell_length_c 6.938
_cell_angle_alpha 90.00
_cell_angle_beta 90.00
_cell_angle_gamma 90.00
loop_
_atom_site_label
_atom_site_type_symbol
_atom_site_fract_x
_atom_site_fract_y
_atom_site_fract_z
Pm1 Pm 0.000 0.000 0.000
Zr1 Zr 0.000 0.000 0.500
Cu1 Cu 0.500 0.500 0.294

=====

Run ii
# PmZrCu2 GGA-PBE relaxed
# - V: 85.96 Å³/f.u.
# - D(E_F): 1.18 states/eV per atom
data_PmZrCu2
_symmetry_space_group_name_H-M 'R -3 m'
_symmetry_Int_Tables_number 166
_symmetry_space_group_name_Hall '-R 3 2"'
_cell_length_a 4.5351
_cell_length_b 4.5351
_cell_length_c 14.4779
_cell_angle_alpha 90.00
_cell_angle_beta 90.00
_cell_angle_gamma 120.00
loop_
_atom_site_label
_atom_site_type_symbol
_atom_site_fract_x
_atom_site_fract_y
_atom_site_fract_z
Pm1 Pm 0.0000 0.0000 0.0000
Zr1 Zr 0.0000 0.0000 0.5000
Cu1 Cu 0.0000 0.0000 0.2049

=====

Run iii
# PmZrCu2 GGA-PBE relaxed
# - V: 79.45 Å³/f.u.
# - D(E_F): 0.92 states/eV per atom
data_PmZrCu2
_symmetry_space_group_name_H-M 'P 4/m m m'
_symmetry_Int_Tables_number 123
_symmetry_space_group_name_Hall '-P 4 2'
_cell_length_a 4.849
_cell_length_b 4.849
_cell_length_c 3.380
_cell_angle_alpha 90.00
_cell_angle_beta 90.00
_cell_angle_gamma 90.00
loop_
_atom_site_label
_atom_site_type_symbol
_atom_site_fract_x
_atom_site_fract_y
_atom_site_fract_z
Pm1 Pm 0.000 0.000 0.000
Zr1 Zr 0.500 0.500 0.000
Cu1 Cu 0.000 0.500 0.500

=====

Run iv
# PmZrCu2 GGA-PBE relaxed
# - V: 80.06 Å³/f.u.
# - D(E_F): 1.05 states/eV per atom
data_PmZrCu2
_symmetry_space_group_name_H-M 'F m -3 m'
_symmetry_Int_Tables_number 225
_symmetry_space_group_name_Hall '-F 4 2 3'
_cell_length_a 6.842
_cell_length_b 6.842
_cell_length_c 6.842
_cell_angle_alpha 90.00
_cell_angle_beta 90.00
_cell_angle_gamma 90.00
loop_
_atom_site_label
_atom_site_type_symbol
_atom_site_fract_x
_atom_site_fract_y
_atom_site_fract_z
Pm1 Pm 0.000 0.000 0.000
Zr1 Zr 0.000 0.000 0.500
Cu1 Cu 0.250 0.250 0.250

=====

Bottom line: run i, by a margin of 54 meV per atom.

=====

Run i
# PrCuPt3 GGA-PBE relaxed
# - V: 99.47 Å³/f.u.
# - D(E_F): 0.62 states/eV per atom
data_PrCuPt3
_symmetry_space_group_name_H-M 'I m m a'
_symmetry_Int_Tables_number 74
_symmetry_space_group_name_Hall '-I 2b 2'
_cell_length_a 5.376
_cell_length_b 8.573
_cell_length_c 8.633
_cell_angle_alpha 90.00
_cell_angle_beta 90.00
_cell_angle_gamma 90.00
loop_
_atom_site_label
_atom_site_type_symbol
_atom_site_fract_x
_atom_site_fract_y
_atom_site_fract_z
Pr1 Pr 0.000 0.250 0.032
Cu1 Cu 0.000 0.000 0.500
Pt1 Pt 0.000 0.250 0.666
Pt2 Pt 0.250 0.014 0.250

=====

Run ii
# PrCuPt3 GGA-PBE relaxed
# - V: 103.06 Å³/f.u.
# - D(E_F): 0.45 states/eV per atom
data_PrCuPt3
_symmetry_space_group_name_H-M 'P b a m'
_symmetry_Int_Tables_number 55
_symmetry_space_group_name_Hall '-P 2 2ab'
_cell_length_a 5.772
_cell_length_b 7.605
_cell_length_c 4.696
_cell_angle_alpha 90.00
_cell_angle_beta 90.00
_cell_angle_gamma 90.00
loop_
_atom_site_label
_atom_site_type_symbol
_atom_site_fract_x
_atom_site_fract_y
_atom_site_fract_z
Pr1 Pr 0.000 0.000 0.000
Cu1 Cu 0.000 0.500 0.500
Pt1 Pt 0.000 0.500 0.000
Pt2 Pt 0.247 0.249 0.500

=====

Bottom line: run i, by a margin of 363 meV per atom.

=====

Run i
# PrCuPt GGA-PBE relaxed
# - V: 62.03 Å³/f.u.
# - D(E_F): 0.38 states/eV per atom
data_PrCuPt
_symmetry_space_group_name_H-M 'I 4 m m'
_symmetry_Int_Tables_number 107
_symmetry_space_group_name_Hall 'I 4 -2'
_cell_length_a 3.677
_cell_length_b 3.677
_cell_length_c 9.176
_cell_angle_alpha 90.00
_cell_angle_beta 90.00
_cell_angle_gamma 90.00
loop_
_atom_site_label
_atom_site_type_symbol
_atom_site_fract_x
_atom_site_fract_y
_atom_site_fract_z
Pr1 Pr 0.000 0.000 0.000
Cu1 Cu 0.000 0.000 0.688
Pt1 Pt 0.000 0.000 0.329

=====

Run ii
# PrCuPt GGA-PBE relaxed
# - V: 63.90 Å³/f.u.
# - D(E_F): 0.47 states/eV per atom
data_PrCuPt
_symmetry_space_group_name_H-M 'P -6 m 2'
_symmetry_Int_Tables_number 187
_symmetry_space_group_name_Hall 'P -6 2'
_cell_length_a 4.4063
_cell_length_b 4.4063
_cell_length_c 3.8002
_cell_angle_alpha 90.00
_cell_angle_beta 90.00
_cell_angle_gamma 120.00
loop_
_atom_site_label
_atom_site_type_symbol
_atom_site_fract_x
_atom_site_fract_y
_atom_site_fract_z
Pr1 Pr 0.0000 0.0000 0.0000
Cu1 Cu 0.3333 0.6667 0.5000
Pt1 Pt 0.6667 0.3333 0.5000

=====

Bottom line: run ii, by a margin of 203 meV per atom.

=====

Run i
# Pr2Cu2Pt GGA-PBE relaxed
# - V: 114.11 Å³/f.u.
# - D(E_F): 0.58 states/eV per atom
data_Pr2Cu2Pt
_symmetry_space_group_name_H-M 'C 1 2/m 1'
_symmetry_Int_Tables_number 12
_symmetry_space_group_name_Hall '-C 2y'
_cell_length_a 10.717
_cell_length_b 4.207
_cell_length_c 11.363
_cell_angle_alpha 90.00
_cell_angle_beta 117.02
_cell_angle_gamma 90.00
loop_
_atom_site_label
_atom_site_type_symbol
_atom_site_fract_x
_atom_site_fract_y
_atom_site_fract_z
Pr1 Pr 0.053 0.000 0.359
Pr2 Pr 0.200 0.000 0.115
Cu1 Cu 0.014 0.500 0.892
Cu2 Cu 0.124 0.500 0.576
Pt1 Pt 0.232 0.500 0.316

=====

Run ii
# Pr2Cu2Pt GGA-PBE relaxed
# - V: 112.42 Å³/f.u.
# - D(E_F): 0.74 states/eV per atom
data_Pr2Cu2Pt
_symmetry_space_group_name_H-M 'A m m 2'
_symmetry_Int_Tables_number 38
_symmetry_space_group_name_Hall 'A 2 -2'
_cell_length_a 3.883
_cell_length_b 4.171
_cell_length_c 13.881
_cell_angle_alpha 90.00
_cell_angle_beta 90.00
_cell_angle_gamma 90.00
loop_
_atom_site_label
_atom_site_type_symbol
_atom_site_fract_x
_atom_site_fract_y
_atom_site_fract_z
Pr1 Pr 0.000 0.000 0.000
Pr2 Pr 0.000 0.000 0.253
Cu1 Cu 0.500 0.000 0.628
Cu2 Cu 0.500 0.000 0.815
Pt1 Pt 0.500 0.000 0.430

=====

Bottom line: run i, by a margin of 38 meV per atom.